Entry 1:
Computed, not measured: an optimized crystal structure of K6Sn2S7 at the GGA-PBEsol level of DFT.

a b c (Å): 9.6204 12.9987 14.2952
angles (deg): 90.00 90.00 90.00
Element x y z (fractional)
K  0.0249  0.1615  0.1882
K  0.0605  0.8173  0.8835
K  0.1426  0.5701  0.0853
K  0.1534  0.6526  0.6438
K  0.2271  0.8610  0.4359
K  0.2456  0.1091  0.6272
K  0.2544  0.8909  0.1272
K  0.2729  0.1390  0.9359
K  0.3466  0.3474  0.1438
K  0.3574  0.4299  0.5853
K  0.4395  0.1827  0.3835
K  0.4751  0.8385  0.6882
K  0.5249  0.3385  0.8118
K  0.5605  0.6827  0.1165
K  0.6426  0.9299  0.9147
K  0.6534  0.8474  0.3562
K  0.7271  0.6390  0.5641
K  0.7456  0.3909  0.3728
K  0.7544  0.6091  0.8728
K  0.7729  0.3610  0.0641
K  0.8466  0.1526  0.8562
K  0.8574  0.0701  0.4147
K  0.9395  0.3173  0.6165
K  0.9751  0.6615  0.3118
Sn  0.0730  0.3904  0.8596
Sn  0.1221  0.3917  0.3827
Sn  0.3779  0.6083  0.8827
Sn  0.4270  0.6096  0.3596
Sn  0.5730  0.1096  0.1404
Sn  0.6221  0.1083  0.6173
Sn  0.8779  0.8917  0.1173
Sn  0.9270  0.8904  0.6404
S  0.0203  0.5070  0.4932
S  0.0213  0.4129  0.2336
S  0.0884  0.3248  0.0134
S  0.1182  0.2202  0.4408
S  0.1238  0.5773  0.8614
S  0.1640  0.8912  0.6857
S  0.2137  0.2988  0.7525
S  0.2863  0.7012  0.2525
S  0.3360  0.1088  0.1857
S  0.3762  0.4227  0.3614
S  0.3818  0.7798  0.9408
S  0.4116  0.6752  0.5134
S  0.4787  0.5871  0.7336
S  0.4797  0.4930  0.9932
S  0.5203  0.9930  0.5068
S  0.5213  0.0871  0.7664
S  0.5884  0.1752  0.9866
S  0.6182  0.2798  0.5592
S  0.6238  0.9227  0.1386
S  0.6640  0.6088  0.3143
S  0.7137  0.2012  0.2475
S  0.7863  0.7988  0.7475
S  0.8360  0.3912  0.8143
S  0.8762  0.0773  0.6386
S  0.8818  0.7202  0.0592
S  0.9116  0.8248  0.4866
S  0.9787  0.9129  0.2664
S  0.9797  0.0070  0.0068

Calculated values
SG: No. 19
Electronic total energy (hartree per atom): -0.150

Entry 2:
Computed, not measured: an optimized crystal structure of K2SnS3 at the GGA-PBEsol level of DFT.

a b c (Å): 6.5895 7.3787 8.1848
angles (deg): 75.87 73.87 67.61
Element x y z (fractional)
K  0.0965  0.2106  0.1184
K  0.3558  0.5352  0.3076
K  0.6442  0.4648  0.6924
K  0.9035  0.7894  0.8816
Sn  0.3505  0.0662  0.6930
Sn  0.6495  0.9338  0.3070
S  0.1538  0.4005  0.7174
S  0.2673  0.9518  0.4654
S  0.3634  0.8166  0.9343
S  0.6366  0.1834  0.0657
S  0.7327  0.0482  0.5346
S  0.8462  0.5995  0.2826

Calculated values
SG: No. 2
Electronic total energy (hartree per atom): -0.154

Entry 3:
Computed, not measured: an optimized crystal structure of K2SnS3 at the GGA-PBEsol level of DFT.

a b c (Å): 3.8955 7.4286 11.4370
angles (deg): 90.00 99.80 90.00
Element x y z (fractional)
K  0.0003  0.2500  0.0007
K  0.9997  0.7500  0.9993
K  0.1677  0.7500  0.3354
K  0.8323  0.2500  0.6646
Sn  0.3563  0.7500  0.7112
Sn  0.6437  0.2500  0.2888
S  0.2133  0.2500  0.4277
S  0.4134  0.0116  0.8264
S  0.4134  0.4884  0.8264
S  0.5866  0.5116  0.1736
S  0.5866  0.9884  0.1736
S  0.7867  0.7500  0.5723

Calculated values
SG: No. 11
Electronic total energy (hartree per atom): -0.154

Entry 4:
Computed, not measured: an optimized crystal structure of K3SnS at the GGA-PBEsol level of DFT.

a b c (Å): 6.4602 6.4602 6.4602
angles (deg): 90.00 90.00 90.00
Element x y z (fractional)
K  0.0000  0.0000  0.5000
K  0.0000  0.5000  0.0000
K  0.5000  0.0000  0.0000
Sn  0.0000  0.0000  0.0000
S  0.5000  0.5000  0.5000

Calculated values
SG: No. 221
Electronic total energy (hartree per atom): -0.079

Entry 5:
Computed, not measured: an optimized crystal structure of K10Zn4Sn4S17 at the GGA-PBEsol level of DFT.

a b c (Å): 9.9088 9.9088 9.9088
angles (deg): 90.97 90.97 90.97
Element x y z (fractional)
K  0.0000  0.0000  0.0000
K  0.0255  0.6717  0.6717
K  0.3401  0.3401  0.8416
K  0.3401  0.8416  0.3401
K  0.3862  0.8435  0.8435
K  0.6717  0.0255  0.6717
K  0.6717  0.6717  0.0255
K  0.8416  0.3401  0.3401
K  0.8435  0.3862  0.8435
K  0.8435  0.8435  0.3862
Zn  0.2046  0.2046  0.2046
Zn  0.2088  0.4739  0.4739
Zn  0.4739  0.2088  0.4739
Zn  0.4739  0.4739  0.2088
Sn  0.1154  0.1154  0.5615
Sn  0.1154  0.5615  0.1154
Sn  0.5615  0.1154  0.1154
Sn  0.5690  0.5690  0.5690
S  0.0648  0.0648  0.3273
S  0.0648  0.3273  0.0648
S  0.0688  0.3487  0.6135
S  0.0688  0.6135  0.3487
S  0.3273  0.0648  0.0648
S  0.3370  0.6168  0.6168
S  0.3406  0.3406  0.3406
S  0.3487  0.0688  0.6135
S  0.3487  0.6135  0.0688
S  0.6135  0.0688  0.3487
S  0.6135  0.3487  0.0688
S  0.6168  0.3370  0.6168
S  0.6168  0.6168  0.3370
S  0.6849  0.9738  0.9738
S  0.7081  0.7081  0.7081
S  0.9738  0.6849  0.9738
S  0.9738  0.9738  0.6849

Calculated values
SG: No. 160
Electronic total energy (hartree per atom): -0.149

Entry 6:
Computed, not measured: an optimized crystal structure of KZn2SnS at the GGA-PBEsol level of DFT.

a b c (Å): 5.3180 5.3180 6.4970
angles (deg): 90.00 90.00 90.00
Element x y z (fractional)
K  0.0000  0.0000  0.0000
Zn  0.0000  0.5000  0.0000
Zn  0.5000  0.0000  0.0000
Sn  0.0000  0.0000  0.5000
S  0.5000  0.5000  0.5000

Calculated values
SG: No. 123
Electronic total energy (hartree per atom): -0.050

Entry 7:
Computed, not measured: an optimized crystal structure of KSr2S at the GGA-PBEsol level of DFT.

a b c (Å): 8.0213 8.0213 8.0213
angles (deg): 99.69 99.69 131.56
Element x y z (fractional)
K  0.0000  0.0000  0.0000
K  0.7500  0.2500  0.5000
Sr  0.2681  0.6250  0.1431
Sr  0.3750  0.5181  0.6431
Sr  0.4819  0.1250  0.8569
Sr  0.8750  0.7319  0.3569
S  0.2500  0.7500  0.5000
S  0.5000  0.5000  0.0000

Calculated values
SG: No. 122
Electronic total energy (hartree per atom): -0.112

Entry 8:
Computed, not measured: an optimized crystal structure of K3TaS4 at the GGA-PBEsol level of DFT.

a b c (Å): 9.1997 10.5734 9.3727
angles (deg): 90.00 90.00 90.00
Element x y z (fractional)
K  0.0582  0.0447  0.2113
K  0.0582  0.4553  0.2113
K  0.1343  0.7500  0.4220
K  0.3657  0.2500  0.9220
K  0.4418  0.5447  0.7113
K  0.4418  0.9553  0.7113
K  0.5582  0.0447  0.2887
K  0.5582  0.4553  0.2887
K  0.6343  0.7500  0.0780
K  0.8657  0.2500  0.5780
K  0.9418  0.5447  0.7887
K  0.9418  0.9553  0.7887
Ta  0.2151  0.7500  0.9877
Ta  0.2849  0.2500  0.4877
Ta  0.7151  0.7500  0.5123
Ta  0.7849  0.2500  0.0123
S  0.0098  0.2500  0.9118
S  0.1635  0.0725  0.5527
S  0.1635  0.4275  0.5527
S  0.1913  0.7500  0.7467
S  0.3087  0.2500  0.2467
S  0.3365  0.5725  0.0527
S  0.3365  0.9275  0.0527
S  0.4902  0.7500  0.4118
S  0.5098  0.2500  0.5882
S  0.6635  0.0725  0.9473
S  0.6635  0.4275  0.9473
S  0.6913  0.7500  0.7533
S  0.8087  0.2500  0.2533
S  0.8365  0.5725  0.4473
S  0.8365  0.9275  0.4473
S  0.9902  0.7500  0.0882

Calculated values
SG: No. 62
Electronic total energy (hartree per atom): -0.200

Entry 9:
Computed, not measured: an optimized crystal structure of KTcS2 at the GGA-PBEsol level of DFT.

a b c (Å): 8.6901 8.6901 8.6901
angles (deg): 23.51 23.51 23.51
Element x y z (fractional)
K  0.0000  0.0000  0.0000
Tc  0.5000  0.5000  0.5000
S  0.1157  0.1157  0.1157
S  0.8843  0.8843  0.8843

Calculated values
SG: No. 166
Electronic total energy (hartree per atom): -0.207

Entry 10:
Computed, not measured: an optimized crystal structure of KTcS3 at the GGA-PBEsol level of DFT.

a b c (Å): 4.6697 4.6697 4.6697
angles (deg): 90.00 90.00 90.00
Element x y z (fractional)
K  0.0000  0.0000  0.0000
Tc  0.5000  0.5000  0.5000
S  0.0000  0.5000  0.5000
S  0.5000  0.0000  0.5000
S  0.5000  0.5000  0.0000

Calculated values
SG: No. 221
Electronic total energy (hartree per atom): -0.202

Entry 11:
Computed, not measured: an optimized crystal structure of K3TeS at the GGA-PBEsol level of DFT.

a b c (Å): 5.8794 5.8794 5.8794
angles (deg): 90.00 90.00 90.00
Element x y z (fractional)
K  0.0000  0.0000  0.5000
K  0.0000  0.5000  0.0000
K  0.5000  0.0000  0.0000
Te  0.5000  0.5000  0.5000
S  0.0000  0.0000  0.0000

Calculated values
SG: No. 221
Electronic total energy (hartree per atom): -0.110

Entry 12:
Computed, not measured: an optimized crystal structure of KTiS2 at the GGA-PBEsol level of DFT.

a b c (Å): 6.6395 6.6395 6.6395
angles (deg): 117.48 117.48 94.42
Element x y z (fractional)
K  0.0000  0.0000  0.0000
K  0.7500  0.2500  0.5000
Ti  0.2500  0.7500  0.5000
Ti  0.5000  0.5000  0.0000
S  0.2218  0.6250  0.0968
S  0.3750  0.4718  0.5968
S  0.5282  0.1250  0.9032
S  0.8750  0.7782  0.4032

Calculated values
SG: No. 122
Electronic total energy (hartree per atom): -0.211

Entry 13:
Computed, not measured: an optimized crystal structure of KTi2S at the GGA-PBEsol level of DFT.

a b c (Å): 9.5298 9.5298 9.5298
angles (deg): 152.43 152.43 39.39
Element x y z (fractional)
K  0.3750  0.6250  0.7500
K  0.6250  0.3750  0.2500
Ti  0.0000  0.0000  0.0000
Ti  0.0000  0.0000  0.5000
Ti  0.0000  0.5000  0.0000
Ti  0.5000  0.0000  0.5000
S  0.1250  0.8750  0.2500
S  0.8750  0.1250  0.7500

Calculated values
SG: No. 141
Electronic total energy (hartree per atom): -0.198

Entry 14:
Computed, not measured: an optimized crystal structure of KTiS2 at the GGA-PBEsol level of DFT.

a b c (Å): 8.8974 8.8974 8.8974
angles (deg): 22.67 22.67 22.67
Element x y z (fractional)
K  0.0000  0.0000  0.0000
Ti  0.5000  0.5000  0.5000
S  0.1128  0.1128  0.1128
S  0.8872  0.8872  0.8872

Calculated values
SG: No. 166
Electronic total energy (hartree per atom): -0.208

Entry 15:
Computed, not measured: an optimized crystal structure of KTiS2 at the GGA-PBEsol level of DFT.

a b c (Å): 7.6263 7.6263 7.6263
angles (deg): 26.71 26.71 26.71
Element x y z (fractional)
K  0.0000  0.0000  0.0000
Ti  0.8309  0.8309  0.8309
S  0.2282  0.2282  0.2282
S  0.4342  0.4342  0.4342

Calculated values
SG: No. 160
Electronic total energy (hartree per atom): -0.218

Entry 16:
Computed, not measured: an optimized crystal structure of KTiS2 at the GGA-PBEsol level of DFT.

a b c (Å): 7.5461 7.5461 7.5461
angles (deg): 27.13 27.13 27.13
Element x y z (fractional)
K  0.0000  0.0000  0.0000
Ti  0.5000  0.5000  0.5000
S  0.2305  0.2305  0.2305
S  0.7695  0.7695  0.7695

Calculated values
SG: No. 166
Electronic total energy (hartree per atom): -0.219

Entry 17:
Computed, not measured: an optimized crystal structure of K3VS4 at the GGA-PBEsol level of DFT.

a b c (Å): 9.0350 10.4103 9.0895
angles (deg): 90.00 90.00 90.00
Element x y z (fractional)
K  0.0518  0.0447  0.2071
K  0.0518  0.4553  0.2071
K  0.1395  0.7500  0.4151
K  0.3605  0.2500  0.9151
K  0.4482  0.5447  0.7071
K  0.4482  0.9553  0.7071
K  0.5518  0.0447  0.2929
K  0.5518  0.4553  0.2929
K  0.6395  0.7500  0.0849
K  0.8605  0.2500  0.5849
K  0.9482  0.5447  0.7929
K  0.9482  0.9553  0.7929
V  0.2184  0.7500  0.9849
V  0.2816  0.2500  0.4849
V  0.7184  0.7500  0.5151
V  0.7816  0.2500  0.0151
S  0.0001  0.2500  0.9210
S  0.9999  0.7500  0.0790
S  0.1663  0.0800  0.5510
S  0.1663  0.4200  0.5510
S  0.1997  0.7500  0.7500
S  0.3003  0.2500  0.2500
S  0.3337  0.5800  0.0510
S  0.3337  0.9200  0.0510
S  0.5001  0.2500  0.5790
S  0.4999  0.7500  0.4210
S  0.6663  0.0800  0.9490
S  0.6663  0.4200  0.9490
S  0.6997  0.7500  0.7500
S  0.8003  0.2500  0.2500
S  0.8337  0.5800  0.4490
S  0.8337  0.9200  0.4490

Calculated values
SG: No. 62
Electronic total energy (hartree per atom): -0.184

Entry 18:
Computed, not measured: an optimized crystal structure of KYS3 at the GGA-PBEsol level of DFT.

a b c (Å): 4.9922 4.9922 4.9922
angles (deg): 90.00 90.00 90.00
Element x y z (fractional)
K  0.0000  0.0000  0.0000
Y  0.5000  0.5000  0.5000
S  0.0000  0.0000  0.5000
S  0.0000  0.5000  0.0000
S  0.5000  0.0000  0.0000

Calculated values
SG: No. 221
Electronic total energy (hartree per atom): -0.147
Distance to the lowest polymorph of the same formula (eV per atom): 1.249

Entry 19:
Computed, not measured: an optimized crystal structure of KYS3 at the GGA-PBEsol level of DFT.

a b c (Å): 5.2340 5.2340 5.2340
angles (deg): 90.00 90.00 90.00
Element x y z (fractional)
K  0.0000  0.0000  0.0000
Y  0.5000  0.5000  0.5000
S  0.0000  0.5000  0.5000
S  0.5000  0.0000  0.5000
S  0.5000  0.5000  0.0000

Calculated values
SG: No. 221
Electronic total energy (hartree per atom): -0.193
Distance to the lowest polymorph of the same formula (eV per atom): 0.000

Number 1: E_form (uncorrected) -1.00 eV/atom. Number 2: E_form (uncorrected) -0.92 eV/atom. Number 3: E_form (uncorrected) -0.91 eV/atom. Number 4: E_form (uncorrected) 0.25 eV/atom. Number 5: E_form (uncorrected) -0.95 eV/atom. Number 6: E_form (uncorrected) 1.23 eV/atom. Number 7: E_form (uncorrected) -0.74 eV/atom. Number 8: E_form (uncorrected) -1.25 eV/atom. Number 9: E_form (uncorrected) -0.35 eV/atom. Number 10: E_form (uncorrected) -0.38 eV/atom. Number 11: E_form (uncorrected) -0.72 eV/atom. Number 12: E_form (uncorrected) -1.20 eV/atom. Number 13: E_form (uncorrected) 0.16 eV/atom. Number 14: E_form (uncorrected) -1.11 eV/atom. Number 15: E_form (uncorrected) -1.38 eV/atom. Number 16: E_form (uncorrected) -1.39 eV/atom. Number 17: E_form (uncorrected) -1.17 eV/atom. Number 18: E_form (uncorrected) 0.22 eV/atom. Number 19: E_form (uncorrected) -1.03 eV/atom.